Material: CdPbF2
Method: DFT, PBE-GGA
State: optimized geometry

Results
The calculation puts the uncorrected formation energy at -150.34 kJ per mole of atoms. The calculation puts the magnetic moment at 0.000 μB/f.u. The total energy comes out at -3.650 eV/atom.

Lattice parameters (Å, degrees): 3.9371 3.9371 24.9151 90.00 90.00 120.00
Last column: nearest neighbours and their distance in Å.
Space group R-3m (No. 166, hexagonal axes)
One atom of each set of equivalent atoms:
Cd (0.0000, 0.0000, 0.0000) (multiplicity 3)  2 F 3.12
Pb (0.0000, 0.0000, 0.5000) (multiplicity 3)  6 F 2.50
F (0.0000, 0.0000, 0.1252) (multiplicity 6)  3 Pb 2.50